DFT (PBE-GGA) results for an optimized crystal structure of Sr2YRh2.

Values from the calculation:
DFT total energy   -51.98 eV/cell
Space-group type   P4/mbm
Energy of formation   -0.2923 eV/atom

Unit cell a=7.4008 b=7.4008 c=4.8656 alpha=90.00 beta=90.00 gamma=90.00
Closest atoms and distances in Å follow each position.
Atoms (fractional coordinates):
Sr 0.6702 0.8298 0.5000  6 Rh 3.24-3.29, 1 Sr 3.56
Sr 0.8298 0.3298 0.5000  6 Rh 3.24-3.29, 1 Sr 3.56
Sr 0.3298 0.1702 0.5000  6 Rh 3.24-3.29, 1 Sr 3.56
Sr 0.1702 0.6702 0.5000  6 Rh 3.24-3.29, 1 Sr 3.56
Y 0.5000 0.5000 0.0000  4 Rh 2.93
Y 0.0000 0.0000 0.0000  4 Rh 2.93
Rh 0.3750 0.8750 0.0000  1 Rh 2.62, 2 Y 2.93
Rh 0.6250 0.1250 0.0000  1 Rh 2.62, 2 Y 2.93
Rh 0.1250 0.3750 0.0000  1 Rh 2.62, 2 Y 2.93
Rh 0.8750 0.6250 0.0000  1 Rh 2.62, 2 Y 2.93

***

DFT (PBE-GGA) results for an optimized crystal structure of SrY4Rh.

Values from the calculation:
DFT total energy   -31.60 eV/cell
Space-group type   F-43m
Energy of formation   0.5475 eV/atom

Unit cell a=6.4568 b=6.4568 c=6.4568 alpha=60.00 beta=60.00 gamma=60.00
Closest atoms and distances in Å follow each position.
Atoms (fractional coordinates):
Y 0.3766 0.3766 0.3766  6 Y 3.19-3.27
Y 0.8702 0.3766 0.3766  6 Y 3.19-3.27
Y 0.3766 0.8702 0.3766  6 Y 3.19-3.27
Y 0.3766 0.3766 0.8702  6 Y 3.19-3.27
Sr 0.0000 0.0000 0.0000  12 Y 3.79, 4 Rh 3.95
Rh 0.7500 0.7500 0.7500  12 Y 3.78, 4 Sr 3.95

***

DFT (PBE-GGA) results for an optimized crystal structure of Sr4YRh.

Values from the calculation:
DFT total energy   -15.64 eV/cell
Space-group type   F-43m
Energy of formation   0.8164 eV/atom

Unit cell a=6.9644 b=6.9644 c=6.9644 alpha=60.00 beta=60.00 gamma=60.00
Closest atoms and distances in Å follow each position.
Atoms (fractional coordinates):
Sr 0.3748 0.3748 0.3748  6 Sr 3.48-3.49
Sr 0.8756 0.3748 0.3748  6 Sr 3.48-3.49
Sr 0.3748 0.3748 0.8756  6 Sr 3.48-3.49
Sr 0.3748 0.8756 0.3748  6 Sr 3.48-3.49
Y 0.7500 0.7500 0.7500  12 Sr 4.08, 4 Rh 4.26
Rh 0.0000 0.0000 0.0000  12 Sr 4.08, 4 Y 4.26

***

DFT (PBE-GGA) results for an optimized crystal structure of Sr2YRh.

Values from the calculation:
DFT total energy   -16.50 eV/cell
Space-group type   P4/mmm
Energy above the lowest structure with this stoichiometry   0.460 eV/atom
Energy of formation   0.1689 eV/atom

Unit cell a=5.4889 b=4.6312 c=4.6312 alpha=90.00 beta=90.00 gamma=90.00
Closest atoms and distances in Å follow each position.
Atoms (fractional coordinates):
Sr 0.0000 0.5000 0.5000  4 Sr 3.27, 4 Rh 3.59, 4 Y 3.59
Sr 0.0000 0.0000 0.0000  4 Sr 3.27, 4 Rh 3.59, 4 Y 3.59
Y 0.5000 0.5000 0.0000  4 Rh 3.27, 8 Sr 3.59
Rh 0.5000 0.0000 0.5000  4 Y 3.27, 8 Sr 3.59

***

Q: Which value of energy of formation does entry 1 give?
A: -0.2923 eV/atom

***

Q: energy of formation of number 3 (Sr4YRh)?
A: 0.8164 eV/atom